# LiDyMgNi

An optimized crystal structure of LiDyMgNi (PBE, Alexandria).

Results
Energy of formation   -0.1378 eV per atom
Size of the total moment   0.000 μB/f.u.
Energy   -3.61 eV per atom

Cell lengths 4.7095, 4.7095, 4.7095 Å; angles 60.00, 60.00, 60.00 degrees
Element x y z (fractional)
Ni (0.0000, 0.0000, 0.0000)
Mg (0.2500, 0.2500, 0.2500)
Li (0.5000, 0.5000, 0.5000)
Dy (0.7500, 0.7500, 0.7500)